Material: BaLiPt2
Method: DFT, meta-GGA SCAN
State: single point on PBEsol structure

## Properties
For the density of states at the Fermi level, the calculation gives 2.45 states/eV/f.u. The value obtained for the calculated volume is 81.1 Å³ per cell. The value obtained for the offset from the most stable computed form is 45.4 meV/atom. The formation enthalpy at 0 K comes out at -0.25 eV/atom. For the total energy, the calculation gives -183.325 eV/f.u.

a = 4.858 Å, b = 4.858 Å, c = 4.858 Å
α = 60.00°, β = 60.00°, γ = 60.00°
Positions (direct):
Ba  0.500  0.500  0.500
Li  0.250  0.250  0.250
Pt  0.000  0.000  0.000
Pt  0.750  0.750  0.750

***

Material: BaLiPt4
Method: DFT, meta-GGA SCAN
State: single point on PBEsol structure

## Properties
For the density of states at the Fermi level, the calculation gives 1.26 states/eV/f.u. The value obtained for the calculated volume is 113.0 Å³ per cell. The formation enthalpy at 0 K comes out at -0.66 eV/atom. For the total energy, the calculation gives -326.670 eV/f.u.

a = 5.426 Å, b = 5.426 Å, c = 5.426 Å
α = 60.00°, β = 60.00°, γ = 60.00°
Positions (direct):
Ba  0.750  0.750  0.750
Pt  0.374  0.374  0.374
Pt  0.374  0.374  0.877
Pt  0.877  0.374  0.374
Pt  0.374  0.877  0.374
Li  0.000  0.000  0.000

***

Material: Ba3LiPt
Method: DFT, meta-GGA SCAN
State: single point on PBEsol structure

## Properties
For the density of states at the Fermi level, the calculation gives 2.77 states/eV/f.u. The value obtained for the calculated volume is 234.2 Å³ per cell. The formation enthalpy at 0 K comes out at -0.42 eV/atom. For the total energy, the calculation gives -193.335 eV/f.u.

a = 6.164 Å, b = 6.164 Å, c = 6.164 Å
α = 90.00°, β = 90.00°, γ = 90.00°
Positions (direct):
Ba  0.000  0.500  0.000
Ba  0.000  0.000  0.500
Ba  0.500  0.000  0.000
Pt  0.000  0.000  0.000
Li  0.500  0.500  0.500

***

Material: BaLiPt
Method: DFT, meta-GGA SCAN
State: single point on PBEsol structure

## Properties
For the density of states at the Fermi level, the calculation gives 2.16 states/eV/f.u. The value obtained for the calculated volume is 74.6 Å³ per cell. The formation enthalpy at 0 K comes out at -0.60 eV/atom. For the total energy, the calculation gives -113.941 eV/f.u.

a = 4.391 Å, b = 4.429 Å, c = 4.429 Å
α = 120.00°, β = 90.00°, γ = 90.00°
Positions (direct):
Ba  0.500  0.000  0.000
Pt  0.000  0.667  0.333
Li  0.000  0.333  0.667

***

Material: Ba2LiRe
Method: DFT, meta-GGA SCAN
State: single point on PBEsol structure

## Properties
For the density of states at the Fermi level, the calculation gives 4.24 states/eV/f.u. The value obtained for the calculated volume is 107.4 Å³ per cell. The value obtained for the offset from the most stable computed form is 0.0 meV/atom. The formation enthalpy at 0 K comes out at 0.96 eV/atom. For the total energy, the calculation gives -148.736 eV/f.u.

a = 5.336 Å, b = 5.336 Å, c = 5.336 Å
α = 60.00°, β = 60.00°, γ = 60.00°
Site moments in Bohr magnetons follow the coordinates.
Positions (direct):
Ba  0.750  0.750  0.750  -0.03
Ba  0.250  0.250  0.250  -0.03
Li  0.000  0.000  0.000  -0.03
Re  0.500  0.500  0.500  1.43

***

Material: Ba2LiRe
Method: DFT, meta-GGA SCAN
State: single point on PBEsol structure

## Properties
For the density of states at the Fermi level, the calculation gives 2.47 states/eV/f.u. The value obtained for the calculated volume is 227.2 Å³ per cell. The value obtained for the offset from the most stable computed form is 435.1 meV/atom. The formation enthalpy at 0 K comes out at 1.40 eV/atom. For the total energy, the calculation gives -146.996 eV/f.u.

a = 4.801 Å, b = 4.801 Å, c = 10.426 Å
α = 103.31°, β = 103.31°, γ = 90.00°
Site moments in Bohr magnetons follow the coordinates.
Positions (direct):
Re  0.250  0.750  0.500  1.00
Re  0.000  0.000  0.000  1.00
Ba  0.373  0.875  0.250  -0.07
Ba  0.877  0.375  0.250  -0.07
Ba  0.125  0.123  0.750  -0.07
Ba  0.625  0.627  0.750  -0.07
Li  0.750  0.250  0.500  -0.02
Li  0.500  0.500  0.000  -0.02

***

Material: BaLi2Re
Method: DFT, meta-GGA SCAN
State: single point on PBEsol structure

## Properties
For the density of states at the Fermi level, the calculation gives 2.55 states/eV/f.u. The value obtained for the calculated volume is 83.5 Å³ per cell. The value obtained for the offset from the most stable computed form is 0.0 meV/atom. The formation enthalpy at 0 K comes out at 0.81 eV/atom. For the total energy, the calculation gives -112.186 eV/f.u.

a = 2.850 Å, b = 5.182 Å, c = 5.900 Å
α = 94.87°, β = 90.00°, γ = 105.97°
Positions (direct):
Ba  0.500  0.000  0.000
Li  0.735  0.470  0.669
Li  0.265  0.530  0.331
Re  0.000  0.000  0.500

***

Material: BaLi2Re
Method: DFT, meta-GGA SCAN
State: single point on PBEsol structure

## Properties
For the density of states at the Fermi level, the calculation gives 2.82 states/eV/f.u. The value obtained for the calculated volume is 84.3 Å³ per cell. The value obtained for the offset from the most stable computed form is 290.7 meV/atom. The formation enthalpy at 0 K comes out at 1.10 eV/atom. For the total energy, the calculation gives -111.023 eV/f.u.

a = 3.164 Å, b = 4.981 Å, c = 5.353 Å
α = 90.00°, β = 90.00°, γ = 90.00°
Positions (direct):
Ba  0.000  0.500  0.500
Li  0.000  0.000  0.000
Li  0.500  0.500  0.000
Re  0.500  0.000  0.500

***

Material: BaLi2Re
Method: DFT, meta-GGA SCAN
State: single point on PBEsol structure

## Properties
For the density of states at the Fermi level, the calculation gives 3.43 states/eV/f.u. The value obtained for the calculated volume is 93.8 Å³ per cell. The value obtained for the offset from the most stable computed form is 61.1 meV/atom. The formation enthalpy at 0 K comes out at 0.87 eV/atom. For the total energy, the calculation gives -111.942 eV/f.u.

a = 2.901 Å, b = 5.574 Å, c = 6.595 Å
α = 115.00°, β = 102.70°, γ = 90.00°
Positions (direct):
Ba  0.000  0.500  0.000
Li  0.800  0.800  0.599
Li  0.200  0.200  0.401
Re  0.500  0.000  0.000

***

Material: BaLi2Rh
Method: DFT, meta-GGA SCAN
State: single point on PBEsol structure

## Properties
For the density of states at the Fermi level, the calculation gives 2.49 states/eV/f.u. The value obtained for the calculated volume is 90.6 Å³ per cell. The value obtained for the offset from the most stable computed form is 0.0 meV/atom. The formation enthalpy at 0 K comes out at -0.08 eV/atom. For the total energy, the calculation gives -78.411 eV/f.u.

a = 4.380 Å, b = 4.380 Å, c = 6.010 Å
α = 68.63°, β = 68.63°, γ = 60.00°
Positions (direct):
Rh  0.553  0.553  0.341
Ba  0.761  0.761  0.716
Li  0.946  0.946  0.161
Li  0.244  0.244  0.267

***

Material: BaLiRh2
Method: DFT, meta-GGA SCAN
State: single point on PBEsol structure

## Properties
For the density of states at the Fermi level, the calculation gives 3.73 states/eV/f.u. The value obtained for the calculated volume is 79.0 Å³ per cell. The value obtained for the offset from the most stable computed form is 852.0 meV/atom. The formation enthalpy at 0 K comes out at 0.68 eV/atom. For the total energy, the calculation gives -106.747 eV/f.u.

a = 3.054 Å, b = 3.054 Å, c = 9.939 Å
α = 81.16°, β = 81.16°, γ = 60.00°
Positions (direct):
Ba  0.492  0.492  0.525
Li  0.271  0.271  0.188
Rh  0.003  0.003  0.990
Rh  0.735  0.735  0.796

***

Material: BaLiRh2
Method: DFT, meta-GGA SCAN
State: single point on PBEsol structure

## Properties
For the density of states at the Fermi level, the calculation gives 1.74 states/eV/f.u. The value obtained for the calculated volume is 75.7 Å³ per cell. The value obtained for the offset from the most stable computed form is 332.2 meV/atom. The formation enthalpy at 0 K comes out at 0.16 eV/atom. For the total energy, the calculation gives -108.827 eV/f.u.

a = 3.053 Å, b = 4.357 Å, c = 5.819 Å
α = 90.00°, β = 102.13°, γ = 90.00°
Positions (direct):
Ba  0.500  0.500  0.000
Li  0.000  0.500  0.500
Rh  0.819  0.000  0.683
Rh  0.181  0.000  0.317

***

Material: BaLi2Rh
Method: DFT, meta-GGA SCAN
State: single point on PBEsol structure

## Properties
For the density of states at the Fermi level, the calculation gives 2.35 states/eV/f.u. The value obtained for the calculated volume is 87.2 Å³ per cell. The value obtained for the offset from the most stable computed form is 170.3 meV/atom. The formation enthalpy at 0 K comes out at 0.09 eV/atom. For the total energy, the calculation gives -77.730 eV/f.u.

a = 3.408 Å, b = 4.666 Å, c = 5.580 Å
α = 90.00°, β = 100.66°, γ = 90.00°
Positions (direct):
Ba  0.000  0.500  0.500
Li  0.706  0.000  0.838
Li  0.294  0.000  0.162
Rh  0.500  0.500  0.000

***

Material: BaLiRh2
Method: DFT, meta-GGA SCAN
State: single point on PBEsol structure

## Properties
For the density of states at the Fermi level, the calculation gives 3.11 states/eV/f.u. The value obtained for the calculated volume is 73.7 Å³ per cell. The value obtained for the offset from the most stable computed form is 480.1 meV/atom. The formation enthalpy at 0 K comes out at 0.31 eV/atom. For the total energy, the calculation gives -108.235 eV/f.u.

a = 4.706 Å, b = 4.706 Å, c = 4.706 Å
α = 60.00°, β = 60.00°, γ = 60.00°
Positions (direct):
Ba  0.000  0.000  0.000
Li  0.500  0.500  0.500
Rh  0.250  0.250  0.250
Rh  0.750  0.750  0.750

***

Material: BaLiRh2
Method: DFT, meta-GGA SCAN
State: single point on PBEsol structure

## Properties
For the density of states at the Fermi level, the calculation gives 1.92 states/eV/f.u. The value obtained for the calculated volume is 88.4 Å³ per cell. The value obtained for the offset from the most stable computed form is 0.0 meV/atom. The formation enthalpy at 0 K comes out at -0.17 eV/atom. For the total energy, the calculation gives -110.155 eV/f.u.

a = 4.340 Å, b = 4.341 Å, c = 5.968 Å
α = 111.32°, β = 90.00°, γ = 119.99°
Site moments in Bohr magnetons follow the coordinates.
Positions (direct):
Rh  0.017  0.033  0.050  0.67
Rh  0.688  0.376  0.063  0.63
Ba  0.493  0.985  0.478  -0.04
Li  0.303  0.606  0.909  -0.01